Li3FeO4 | GGA+U | relaxed

Cell and atoms, written as CIF:
```
data_Li3FeO4
_chemical_formula_sum 'Li6 Fe2 O8'
_space_group_name_H-M_alt 'P 1'
_space_group_IT_number 1
_space_group_name_Hall 'P 1'
_cell_length_a 5.760
_cell_length_b 5.213
_cell_length_c 5.213
_cell_angle_alpha 67.01
_cell_angle_beta 90.00
_cell_angle_gamma 90.00
loop_
_atom_site_label
_atom_site_type_symbol
_atom_site_fract_x
_atom_site_fract_y
_atom_site_fract_z
Li1 Li 0.000 0.000 0.000
Li2 Li 0.248 0.973 0.483
Li3 Li 0.252 0.473 0.983
Li4 Li 0.500 0.500 0.500
Li5 Li 0.748 0.983 0.473
Li6 Li 0.752 0.483 0.973
Fe1 Fe 0.000 0.472 0.472
Fe2 Fe 0.500 0.972 0.972
O1 O 0.000 0.258 0.258
O2 O 0.000 0.684 0.684
O3 O 0.231 0.244 0.707
O4 O 0.269 0.744 0.207
O5 O 0.500 0.184 0.184
O6 O 0.500 0.758 0.758
O7 O 0.731 0.207 0.744
O8 O 0.769 0.707 0.244
```

Calculated values
symmetry = No. 41
electronic total energy = -5.376 eV per atom